The following is a DFT calculation (PBE with a Hubbard U) of crystalline Li4VF6 at its relaxed geometry.

a b c (Å): 5.3797 5.3797 10.6465
angles (deg): 86.10 86.10 59.54
Last column: nearest neighbours and their distance in Å.
Atoms (fractional coordinates):
Li (0.2623, 0.9491, 0.9527)  4 F 1.85-2.07
Li (0.0419, 0.6076, 0.8221)  4 F 1.88-1.92
Li (0.8301, 0.1830, 0.6946)  4 F 1.87-2.09
Li (0.1830, 0.8301, 0.1946)  4 F 1.87-2.09
Li (0.2647, 0.5078, 0.5556)  4 F 1.90-2.04
Li (0.9491, 0.2623, 0.4527)  4 F 1.85-2.07
Li (0.5078, 0.2647, 0.0556)  4 F 1.90-2.04
Li (0.6076, 0.0419, 0.3221)  4 F 1.88-1.92
V (0.4131, 0.9165, 0.6456)  6 F 2.08-2.16
V (0.9165, 0.4131, 0.1456)  6 F 2.08-2.16
F (0.1649, 0.3690, 0.9715)  3 Li 1.90-2.07
F (0.6941, 0.9454, 0.7673)  2 Li 1.87-1.92
F (0.1123, 0.3416, 0.6978)  3 Li 1.89-2.09, 1 V 2.11
F (0.9163, 0.0647, 0.0577)  3 Li 1.90-1.99
F (0.6276, 0.4916, 0.5746)  3 Li 1.91-1.99
F (0.7648, 0.2857, 0.3080)  2 Li 1.85-1.88
F (0.3690, 0.1649, 0.4715)  3 Li 1.90-2.07
F (0.0647, 0.9163, 0.5577)  3 Li 1.90-1.99
F (0.2857, 0.7648, 0.8080)  2 Li 1.85-1.88
F (0.4916, 0.6276, 0.0746)  3 Li 1.91-1.99
F (0.9454, 0.6941, 0.2673)  2 Li 1.87-1.92
F (0.3416, 0.1123, 0.1978)  3 Li 1.89-2.09, 1 V 2.11

Space-group type = Cc (9)
ΔE to the lowest computed polymorph = 0.036 eV per atom
VASP energy = -5.18 eV/atom
Total magnetization = 3.00 μB per formula unit